# 1
Ba5Al5Pb | GGA-PBEsol | relaxed

Unit cell a=6.032 b=6.032 c=11.026 alpha=90.00 beta=90.00 gamma=120.00
Positions (direct):
Al: 0.667 0.333 0.678
Al: 0.667 0.333 0.322
Al: 0.488 0.976 0.500
Al: 0.488 0.512 0.500
Al: 0.024 0.512 0.500
Ba: 0.000 0.000 0.671
Ba: 0.333 0.667 0.202
Ba: 0.667 0.333 0.000
Ba: 0.333 0.667 0.798
Ba: 0.000 0.000 0.329
Pb: 0.000 0.000 0.000

Density of states at the Fermi level   6.32 states/eV/cell



# 2
Ba2AlPb | GGA-PBEsol | relaxed

Unit cell a=5.066 b=5.066 c=6.398 alpha=113.32 beta=113.32 gamma=90.00
Positions (direct):
Al: 0.250 0.750 0.500
Pb: 0.500 0.500 0.000
Ba: 0.750 0.250 0.500
Ba: 0.000 0.000 0.000

Density of states at the Fermi level   5.23 states/eV/cell
Offset from the most stable computed form   0.86 eV/f.u.



# 3
Ba2AlPb | GGA-PBEsol | relaxed

Unit cell a=5.884 b=5.884 c=5.884 alpha=60.00 beta=60.00 gamma=60.00
Positions (direct):
Ba: 0.750 0.750 0.750
Ba: 0.250 0.250 0.250
Pb: 0.500 0.500 0.500
Al: 0.000 0.000 0.000

Density of states at the Fermi level   3.50 states/eV/cell
Offset from the most stable computed form   0.42 eV/f.u.



| no. | E_form (eV/atom) | final energy (eV/atom) | theoretical density (g cm⁻³) |
| --- | --- | --- | --- |
| 1 | -0.343 | -3.5432 | 4.9 |
| 2 | -0.151 | -3.2485 | 6.2 |
| 3 | -0.260 | -3.3566 | 5.9 |